The following is a PBE-GGA calculation of a geometry-optimized CaHo4ScS8 structure, from Alexandria.

Lattice parameters (Å, degrees): 8.0363 8.0363 7.9354 59.58 59.58 60.00
Fractional positions:
Ca1 0.3776 0.3776 0.8671
Ho1 0.6231 0.6231 0.1308
Ho2 0.0022 0.4938 0.5018
Ho3 0.4938 0.0022 0.5018
Ho4 0.0022 0.0022 0.5018
Sc1 0.0026 0.0026 0.9922
S1 0.2329 0.7853 0.7490
S2 0.7853 0.2329 0.7490
S3 0.2329 0.2329 0.7490
S4 0.2402 0.2402 0.2795
S5 0.7634 0.2231 0.2500
S6 0.2231 0.7634 0.2500
S7 0.7634 0.7634 0.2500
S8 0.7573 0.7573 0.7280

Properties
Formation energy from raw total energies: -1970.8 meV per atom
Crystal system: trigonal
SG: R3m, No. 160
N(E_F): 3.83 states/eV/f.u.
Total magnetic moment: 0.00 μB per atom